Entry 1:
LiGdCdPd, relaxed, DFT PBE; DFT formation energy = -0.389 eV per atom
1.0
0.000 3.482 3.482
3.482 0.000 3.482
3.482 3.482 0.000
Li Gd Cd Pd
1 1 1 1
direct
0.000 0.000 0.000
0.500 0.500 0.500
0.750 0.750 0.750
0.250 0.250 0.250

=====

Entry 2:
LiGdCdPt, relaxed, DFT PBE; DFT formation energy = -0.614 eV per atom
1.0
0.000 3.418 3.418
3.418 0.000 3.418
3.418 3.418 0.000
Li Gd Cd Pt
1 1 1 1
direct
0.000 0.000 0.000
0.250 0.250 0.250
0.750 0.750 0.750
0.500 0.500 0.500

=====

Entry 3:
LiGdCdRh, relaxed, DFT PBE; DFT formation energy = -0.412 eV per atom
1.0
0.000 3.389 3.389
3.389 0.000 3.389
3.389 3.389 0.000
Li Gd Cd Rh
1 1 1 1
direct
0.000 0.000 0.000
0.250 0.250 0.250
0.750 0.750 0.750
0.500 0.500 0.500

=====

Entry 4:
LiGdScCd, relaxed, DFT PBE; DFT formation energy = -0.095 eV per atom
1.0
0.000 3.639 3.639
3.639 0.000 3.639
3.639 3.639 0.000
Li Gd Sc Cd
1 1 1 1
direct
0.000 0.000 0.000
0.250 0.250 0.250
0.750 0.750 0.750
0.500 0.500 0.500

=====

Entry 5:
LiSmGdCd, relaxed, DFT PBE; DFT formation energy = -0.135 eV per atom
1.0
0.000 3.768 3.768
3.768 0.000 3.768
3.768 3.768 0.000
Li Sm Gd Cd
1 1 1 1
direct
0.000 0.000 0.000
0.250 0.250 0.250
0.750 0.750 0.750
0.500 0.500 0.500

=====

Entry 6:
LiGdTlCd, relaxed, DFT PBE; DFT formation energy = -0.312 eV per atom
1.0
0.000 3.633 3.633
3.633 0.000 3.633
3.633 3.633 0.000
Li Gd Tl Cd
1 1 1 1
direct
0.000 0.000 0.000
0.500 0.500 0.500
0.750 0.750 0.750
0.250 0.250 0.250

=====

Entry 7:
LiGdTmCd, relaxed, DFT PBE; DFT formation energy = -0.118 eV per atom
1.0
0.000 3.715 3.715
3.715 0.000 3.715
3.715 3.715 0.000
Li Gd Tm Cd
1 1 1 1
direct
0.000 0.000 0.000
0.750 0.750 0.750
0.250 0.250 0.250
0.500 0.500 0.500

=====

Entry 8:
LiGdZnCd, relaxed, DFT PBE; DFT formation energy = -0.227 eV per atom
1.0
0.000 3.515 3.515
3.515 0.000 3.515
3.515 3.515 0.000
Li Gd Zn Cd
1 1 1 1
direct
0.000 0.000 0.000
0.500 0.500 0.500
0.250 0.250 0.250
0.750 0.750 0.750

=====

Entry 9:
GdLu2Cd, relaxed, DFT PBE; ΔE to the lowest computed polymorph = 57.8 kJ/mol of formula units; DFT formation energy = 0.016 eV per atom
1.0
0.000 3.798 3.798
3.798 0.000 3.798
3.798 3.798 0.000
Gd Lu Cd
1 2 1
direct
0.000 0.000 0.000
0.250 0.250 0.250
0.750 0.750 0.750
0.500 0.500 0.500

=====

Entry 10:
GdLu2Cd, relaxed, DFT PBE; ΔE to the lowest computed polymorph = 15.5 kJ/mol of formula units; DFT formation energy = -0.094 eV per atom
1.0
4.810 0.000 0.000
0.000 4.810 0.000
0.000 0.000 4.766
Gd Lu Cd
1 2 1
direct
0.000 0.000 0.000
0.000 0.500 0.500
0.500 0.000 0.500
0.500 0.500 0.000

=====

Entry 11:
GdLuCd2, relaxed, DFT PBE; ΔE to the lowest computed polymorph = 1.3 kJ/mol of formula units; DFT formation energy = -0.320 eV per atom
1.0
0.000 3.722 3.722
3.722 0.000 3.722
3.722 3.722 0.000
Gd Lu Cd
1 1 2
direct
0.000 0.000 0.000
0.500 0.500 0.500
0.250 0.250 0.250
0.750 0.750 0.750

=====

Entry 12:
GdLuCd2, relaxed, DFT PBE; ΔE to the lowest computed polymorph = 0.0 kJ/mol of formula units; DFT formation energy = -0.324 eV per atom
1.0
3.686 0.000 0.000
0.000 3.686 0.000
0.000 0.000 7.591
Gd Lu Cd
1 1 2
direct
0.000 0.000 0.000
0.000 0.000 0.500
0.500 0.500 0.264
0.500 0.500 0.736

=====

Entry 13:
GdLu2Cd, relaxed, DFT PBE; ΔE to the lowest computed polymorph = 0.0 kJ/mol of formula units; DFT formation energy = -0.134 eV per atom
1.0
3.524 0.000 0.000
0.000 3.524 0.000
0.000 0.000 9.024
Gd Lu Cd
1 2 1
direct
0.000 0.000 0.000
0.500 0.500 0.276
0.500 0.500 0.724
0.000 0.000 0.500

=====

Entry 14:
GdLuCdNi, relaxed, DFT PBE; DFT formation energy = -0.261 eV per atom
1.0
0.000 3.557 3.557
3.557 0.000 3.557
3.557 3.557 0.000
Gd Lu Cd Ni
1 1 1 1
direct
0.000 0.000 0.000
0.500 0.500 0.500
0.250 0.250 0.250
0.750 0.750 0.750

=====

Entry 15:
GdLuCdOs, relaxed, DFT PBE; DFT formation energy = -0.213 eV per atom
1.0
0.000 3.528 3.528
3.528 0.000 3.528
3.528 3.528 0.000
Gd Lu Cd Os
1 1 1 1
direct
0.000 0.000 0.000
0.500 0.500 0.500
0.750 0.750 0.750
0.250 0.250 0.250

=====

Entry 16:
GdLuCdPd, relaxed, DFT PBE; DFT formation energy = -0.547 eV per atom
1.0
0.000 3.607 3.607
3.607 0.000 3.607
3.607 3.607 0.000
Gd Lu Cd Pd
1 1 1 1
direct
0.000 0.000 0.000
0.500 0.500 0.500
0.250 0.250 0.250
0.750 0.750 0.750

=====

Entry 17:
PmGdLuCd, relaxed, DFT PBE; DFT formation energy = -0.060 eV per atom
1.0
0.000 3.869 3.869
3.869 0.000 3.869
3.869 3.869 0.000
Pm Gd Lu Cd
1 1 1 1
direct
0.000 0.000 0.000
0.500 0.500 0.500
0.250 0.250 0.250
0.750 0.750 0.750

=====

Entry 18:
GdLuCdRh, relaxed, DFT PBE; DFT formation energy = -0.528 eV per atom
1.0
0.000 3.557 3.557
3.557 0.000 3.557
3.557 3.557 0.000
Gd Lu Cd Rh
1 1 1 1
direct
0.000 0.000 0.000
0.500 0.500 0.500
0.250 0.250 0.250
0.750 0.750 0.750

=====

Entry 19:
GdLuCdRu, relaxed, DFT PBE; DFT formation energy = -0.291 eV per atom
1.0
0.000 3.541 3.541
3.541 0.000 3.541
3.541 3.541 0.000
Gd Lu Cd Ru
1 1 1 1
direct
0.000 0.000 0.000
0.500 0.500 0.500
0.250 0.250 0.250
0.750 0.750 0.750

=====

Entry 20:
GdLuScCd, relaxed, DFT PBE; DFT formation energy = -0.038 eV per atom
1.0
0.000 3.759 3.759
3.759 0.000 3.759
3.759 3.759 0.000
Gd Lu Sc Cd
1 1 1 1
direct
0.000 0.000 0.000
0.500 0.500 0.500
0.750 0.750 0.750
0.250 0.250 0.250